Entry 1:
## PmCrN3 (PBE)

Data for an optimized crystal structure of PmCrN3.

Lattice parameters (Å, degrees): 3.802 3.802 3.802 90.00 90.00 90.00
Space group Pm-3m (No. 221)
Symmetry-distinct sites (fractional):
Pm1 0.000 0.000 0.000 (multiplicity 1)
Cr1 0.500 0.500 0.500 (multiplicity 1)
N1 0.000 0.500 0.500 (multiplicity 3)

## Properties
* formation energy without anion corrections: -551 meV per atom
* crystal system: cubic

---

Entry 2:
## Sr2CuP (PBE)

Data for an optimized crystal structure of Sr2CuP.

Lattice parameters (Å, degrees): 3.670 3.845 7.508 90.00 90.00 90.00
Space group Pmmm (No. 47)
Symmetry-distinct sites (fractional):
Sr1 0.000 0.000 0.226 (multiplicity 2)
Cu1 0.500 0.500 0.500 (multiplicity 1)
P1 0.500 0.500 0.000 (multiplicity 1)

## Properties
* formation energy: -0.445 eV/atom
* crystal system: orthorhombic

---

Entry 3:
## Ca3TaB (PBE)

Data for an optimized crystal structure of Ca3TaB.

Lattice parameters (Å, degrees): 5.546 5.546 5.546 90.00 90.00 90.00
Space group Pm-3m (No. 221)
Symmetry-distinct sites (fractional):
Ca1 0.000 0.000 0.500 (multiplicity 3)
Ta1 0.000 0.000 0.000 (multiplicity 1)
B1 0.500 0.500 0.500 (multiplicity 1)

## Properties
* ΔE to the lowest computed polymorph: 4.44 eV per formula unit
* formation energy: 1.891 eV/atom
* crystal system: cubic

---

Entry 4:
## Np2ZnIn8 (PBE)

Data for an optimized crystal structure of Np2ZnIn8.

Lattice parameters (Å, degrees): 4.753 4.753 12.103 90.00 90.00 90.00
Space group P4/mmm (No. 123)
Symmetry-distinct sites (fractional):
Np1 0.000 0.000 0.190 (multiplicity 2)
Zn1 0.000 0.000 0.500 (multiplicity 1)
In1 0.000 0.500 0.000 (multiplicity 2)
In2 0.000 0.500 0.370 (multiplicity 4)
In3 0.500 0.500 0.188 (multiplicity 2)

## Properties
* formation energy: 0.019 eV/atom
* crystal system: tetragonal

---

Entry 5:
## Nd2Pt15Au2 (PBE)

Data for an optimized crystal structure of Nd2Pt15Au2.

Lattice parameters (Å, degrees): 9.3809 9.3809 13.4242 90.00 90.00 120.00
Space group R-3m (No. 166, hexagonal axes)
Symmetry-distinct sites (fractional):
Nd1 0.0000 0.0000 0.1562 (multiplicity 6)
Pt1 0.0000 0.3148 0.5000 (multiplicity 18)
Pt2 0.0000 0.5000 0.0000 (multiplicity 9)
Pt3 0.0059 0.5029 0.6583 (multiplicity 18)
Au1 0.0000 0.0000 0.3958 (multiplicity 6)

## Properties
* formation energy: -0.425 eV/atom
* crystal system: trigonal

---

Entry 6:
## YGaAu2 (PBE)

Data for an optimized crystal structure of YGaAu2.

Lattice parameters (Å, degrees): 4.514 4.514 4.046 90.00 90.00 90.00
Space group P4/mmm (No. 123)
Symmetry-distinct sites (fractional):
Y1 0.000 0.000 0.000 (multiplicity 1)
Ga1 0.500 0.500 0.000 (multiplicity 1)
Au1 0.000 0.500 0.500 (multiplicity 2)

## Properties
* formation energy: -0.559 eV/atom
* crystal system: tetragonal

---

Entry 7:
## Rb2MgAsCl6 (PBE)

Data for an optimized crystal structure of Rb2MgAsCl6.

Lattice parameters (Å, degrees): 7.207 7.207 11.448 90.00 90.00 90.00
Space group I4/mmm (No. 139)
Symmetry-distinct sites (fractional):
Rb1 0.000 0.500 0.250 (multiplicity 4)
Mg1 0.000 0.000 0.000 (multiplicity 2)
As1 0.000 0.000 0.500 (multiplicity 2)
Cl1 0.000 0.000 0.210 (multiplicity 4)
Cl2 0.245 0.245 0.500 (multiplicity 8)

## Properties
* formation energy without anion corrections: -1409 meV per atom
* crystal system: tetragonal

---

Entry 8:
## NiIrW2 (PBE)

Data for an optimized crystal structure of NiIrW2.

Lattice parameters (Å, degrees): 3.781 3.781 17.790 90.00 90.00 90.00
Space group I-42d (No. 122)
Symmetry-distinct sites (fractional):
Ni1 0.000 0.000 0.000 (multiplicity 4)
Ir1 0.000 0.000 0.500 (multiplicity 4)
W1 0.235 0.250 0.125 (multiplicity 8)

## Properties
* formation energy: 0.617 eV/atom
* crystal system: tetragonal

---

Entry 9:
## ZnNCl3 (PBE)

Data for an optimized crystal structure of ZnNCl3.

Lattice parameters (Å, degrees): 4.891 4.891 4.891 90.00 90.00 90.00
Space group Pm-3m (No. 221)
Symmetry-distinct sites (fractional):
Zn1 0.000 0.000 0.000 (multiplicity 1)
N1 0.500 0.500 0.500 (multiplicity 1)
Cl1 0.000 0.000 0.500 (multiplicity 3)

## Properties
* formation energy without anion corrections: 665 meV per atom
* ΔE to the lowest computed polymorph: 3.67 eV per formula unit
* crystal system: cubic

---

Entry 10:
## AcTbEr4S8 (PBE)

Data for an optimized crystal structure of AcTbEr4S8.

Lattice parameters (Å, degrees): 8.1105 8.1105 19.9609 90.00 90.00 120.00
Space group R3m (No. 160, hexagonal axes)
Symmetry-distinct sites (fractional):
Ac1 0.0000 0.0000 0.0000 (multiplicity 3)
Tb1 0.0000 0.0000 0.6230 (multiplicity 3)
Er1 0.0000 0.0000 0.2509 (multiplicity 3)
Er2 0.0058 0.5029 0.1263 (multiplicity 9)
S1 0.0000 0.0000 0.3822 (multiplicity 3)
S2 0.0000 0.0000 0.8592 (multiplicity 3)
S3 0.0405 0.5202 0.3819 (multiplicity 9)
S4 0.1735 0.3469 0.2052 (multiplicity 9)

## Properties
* formation energy without anion corrections: -1919 meV per atom
* crystal system: trigonal

---

Entry 11:
## Ba2Cd4Bi3Sb (PBE)

Data for an optimized crystal structure of Ba2Cd4Bi3Sb.

Lattice parameters (Å, degrees): 5.528 5.528 10.968 90.00 90.00 90.00
Space group P-4m2 (No. 115)
Symmetry-distinct sites (fractional):
Ba1 0.000 0.500 0.241 (multiplicity 2)
Cd1 0.000 0.000 0.500 (multiplicity 1)
Cd2 0.000 0.500 0.890 (multiplicity 2)
Cd3 0.500 0.500 0.500 (multiplicity 1)
Bi1 0.000 0.000 0.000 (multiplicity 1)
Bi2 0.000 0.500 0.623 (multiplicity 2)
Sb1 0.500 0.500 0.000 (multiplicity 1)

## Properties
* formation energy without anion corrections: -382 meV per atom
* crystal system: tetragonal

---

Entry 12:
## MnSbN3 (PBE)

Data for an optimized crystal structure of MnSbN3.

Lattice parameters (Å, degrees): 3.756 3.756 3.756 90.00 90.00 90.00
Space group Pm-3m (No. 221)
Symmetry-distinct sites (fractional):
Mn1 0.000 0.000 0.000 (multiplicity 1)
Sb1 0.500 0.500 0.500 (multiplicity 1)
N1 0.000 0.000 0.500 (multiplicity 3)

## Properties
* formation energy without anion corrections: 928 meV per atom
* crystal system: cubic

---

The records above yield calculated total energy values of -0.61892, -0.26922, -0.22164, -0.32640, -0.44398, -0.33594, -0.24508, -0.69974, -0.17367, -0.45610, -0.19914, -0.49435 Ry per atom, respectively.